Density functional theory data (PBE+U) for a relaxed structure of NaPaCoO6.

abc: 5.2578 5.2578 4.6358
angles: 90.00 90.00 120.00
Closest atoms and distances in Å follow each position.
Positions (direct):
Na1 0.0000 0.0000 0.0000  6 O 2.27
Pa1 0.6667 0.3333 0.5000  6 O 2.17
Co1 0.3333 0.6667 0.0000  6 O 1.86
O1 0.0313 0.3943 0.2323  1 Co 1.86
O2 0.0313 0.6370 0.7677  1 Co 1.86
O3 0.3630 0.3943 0.7677  1 Co 1.86
O4 0.3630 0.9687 0.2323  1 Co 1.86
O5 0.6057 0.6370 0.2323  1 Co 1.86
O6 0.6057 0.9687 0.7677  1 Co 1.86

Values from the calculation:
* mass density: 6.12 g cm⁻³
* VASP energy: -6.7047 eV per atom